Entry 1:
VASP calculation (PBE) on a relaxed Pb2AuS crystal.

```
4
Lattice="3.632 0.000 0.000 0.000 5.185 0.000 0.000 0.000 5.185" Properties=species:S:1:pos:R:3 pbc="T T T"
Pb 0.000 0.000 2.593
Pb 0.000 2.593 0.000
S 1.816 2.593 2.593
Au 1.816 0.000 0.000
```

Symmetry ... P4/mmm (123)
Size of the total moment ... 0.00 μB per atom
Formation energy from raw total energies ... -0.11 eV per atom

Entry 2:
VASP calculation (PBE) on a relaxed Pb2AuS crystal.

```
4
Lattice="4.000 0.000 0.000 2.000 3.464 0.000 2.000 1.155 7.706" Properties=species:S:1:pos:R:3 pbc="T T T"
Pb 2.000 1.155 5.850
Pb 2.000 1.155 1.856
Au 4.000 2.309 3.887
S 6.000 3.464 7.672
```

Symmetry ... R3m (160)
Size of the total moment ... 0.00 μB per atom
Formation energy from raw total energies ... -0.17 eV per atom